Record 1
This record from the Alexandria database describes an optimized crystal structure of BaNaMg2. The functional is GGA-PBE.

Results
Spin magnetization ... 0.00 μB per cell
Formation energy ... 0.07 eV per atom
Crystal system ... cubic
Energy above the lowest structure with this stoichiometry ... 9 meV/atom

Cell: 8.268 8.268 8.268 Å, 90.00 90.00 90.00°
Space group Fm-3m (No. 225)
Asymmetric unit:
Ba  0.000  0.000  0.000 x4
Na  0.000  0.000  0.500 x4
Mg  0.250  0.250  0.250 x8

Record 2
This record from the Alexandria database describes an optimized crystal structure of BaNaMg3. The functional is GGA-PBE.

Results
Spin magnetization ... 0.00 μB per cell
Formation energy ... 0.30 eV per atom
Crystal system ... cubic
Energy above the lowest structure with this stoichiometry ... 0 meV/atom

Cell: 5.637 5.637 5.637 Å, 90.00 90.00 90.00°
Space group Pm-3m (No. 221)
Asymmetric unit:
Ba  0.000  0.000  0.000 x1
Na  0.500  0.500  0.500 x1
Mg  0.000  0.500  0.500 x3

Record 3
This record from the Alexandria database describes an optimized crystal structure of BaNaMg4. The functional is GGA-PBE.

Results
Spin magnetization ... 0.00 μB per cell
Formation energy ... -0.01 eV per atom
Crystal system ... cubic

Cell: 9.057 9.057 9.057 Å, 90.00 90.00 90.00°
Space group F-43m (No. 216)
Asymmetric unit:
Ba  0.000  0.000  0.000 x4
Na  0.250  0.250  0.750 x4
Mg  0.124  0.124  0.376 x16

Record 4
This record from the Alexandria database describes an optimized crystal structure of Ba3NaMg. The functional is GGA-PBE.

Results
Spin magnetization ... 0.82 μB per cell
Formation energy ... 0.03 eV per atom
Crystal system ... cubic
Energy above the lowest structure with this stoichiometry ... 47 meV/atom

Cell: 9.073 9.073 9.073 Å, 90.00 90.00 90.00°
Space group Pm-3m (No. 221)
Asymmetric unit:
Ba  0.000  0.000  0.000 x1
Ba  0.271  0.271  0.271 x8
Na  0.000  0.000  0.500 x3
Mg  0.000  0.500  0.500 x3

What is the formation energy in the second record? 0.30 eV per atom

Among the records above, which one has the highest spin magnetization? Ba3NaMg